DFT (PBE) results for LaTiCr3 after structural relaxation.

POSCAR file:
```
LaTiCr3
1.0
4.691 0.000 0.000
0.000 4.691 0.000
0.000 0.000 4.691
La Ti Cr
1 1 3
Direct
0.500 0.500 0.500
0.000 0.000 0.000
0.500 0.000 0.000
0.000 0.000 0.500
0.000 0.500 0.000
```

Computed properties:
E_form, eV per atom: 0.872
Density of states at the Fermi level, states/eV/atom: 1.18
Space-group type: Pm-3m, No. 221
Size of the total moment, μB per formula unit: 8.10


DFT (PBE) results for Tm2ScS2 after structural relaxation.

POSCAR file:
```
Tm2ScS2
1.0
6.811 1.301 -2.160
-2.537 4.680 -1.762
-1.016 -0.482 7.007
S Tm Sc
4 4 2
Direct
0.912 0.162 0.324
0.747 0.497 0.993
0.088 0.838 0.676
0.253 0.503 0.007
0.150 0.583 0.326
0.323 0.257 0.674
0.677 0.743 0.326
0.850 0.417 0.674
0.309 0.059 0.117
0.691 0.941 0.883
```

Computed properties:
Density of states at the Fermi level, states/eV/atom: 0.80
E_form (uncorrected), kJ/mol of atoms: -116.7
Space-group type: C2/c, No. 15
Size of the total moment, μB per formula unit: 0.00


DFT (PBE) results for Hf3Ti5H12 after structural relaxation.

POSCAR file:
```
Hf3Ti5H12
1.0
9.766 0.000 0.000
-3.255 9.207 0.000
-3.255 -4.604 7.974
H Hf Ti
48 12 20
Direct
0.720 0.141 0.058
0.083 0.921 0.141
0.442 0.662 0.083
0.583 0.641 0.421
0.083 0.162 0.442
0.558 0.338 0.917
0.720 0.579 0.162
0.442 0.780 0.859
0.838 0.921 0.280
0.641 0.058 0.220
0.079 0.917 0.359
0.942 0.359 0.280
0.859 0.280 0.442
0.921 0.083 0.641
0.058 0.641 0.720
0.859 0.579 0.917
0.917 0.838 0.558
0.662 0.220 0.579
0.421 0.141 0.583
0.338 0.558 0.417
0.280 0.421 0.838
0.417 0.359 0.579
0.141 0.421 0.083
0.058 0.417 0.838
0.780 0.338 0.921
0.421 0.280 0.338
0.359 0.417 0.079
0.280 0.859 0.942
0.579 0.720 0.662
0.359 0.942 0.780
0.220 0.558 0.641
0.417 0.058 0.338
0.162 0.079 0.720
0.579 0.859 0.417
0.583 0.942 0.662
0.942 0.583 0.162
0.220 0.662 0.079
0.921 0.838 0.780
0.662 0.442 0.583
0.141 0.720 0.558
0.558 0.220 0.141
0.641 0.583 0.921
0.838 0.917 0.058
0.079 0.162 0.220
0.338 0.780 0.421
0.162 0.083 0.942
0.917 0.079 0.859
0.780 0.442 0.359
0.125 0.875 0.750
0.625 0.250 0.375
0.375 0.625 0.250
0.125 0.250 0.875
0.250 0.125 0.375
0.875 0.125 0.250
0.250 0.625 0.875
0.625 0.375 0.750
0.375 0.750 0.625
0.750 0.875 0.625
0.875 0.750 0.125
0.750 0.375 0.125
0.125 0.750 0.375
0.500 0.500 0.500
0.125 0.375 0.250
0.625 0.750 0.875
0.000 0.000 0.000
0.000 0.500 0.500
0.250 0.875 0.125
0.000 0.000 0.500
0.250 0.375 0.625
0.875 0.625 0.750
0.625 0.875 0.250
0.750 0.625 0.375
0.500 0.000 0.000
0.500 0.000 0.500
0.500 0.500 0.000
0.375 0.125 0.750
0.000 0.500 0.000
0.750 0.125 0.875
0.375 0.250 0.125
0.875 0.250 0.625
```

Computed properties:
Density of states at the Fermi level, states/eV/atom: 0.32
Space-group type: Ia-3d, No. 230
Size of the total moment, μB per formula unit: 0.00
Raw total energy, eV for the cell shown: -473.0